(1)
Crystalline Te2C3 at its relaxed geometry. Source: Alexandria via LeMat-Bulk, functional PBE-GGA.

Lattice parameters (Å, degrees): 7.140 7.140 7.140 27.68 27.68 27.68
Fractional positions:
1 Te 0.594 0.594 0.594
2 Te 0.406 0.406 0.406
3 C 0.000 0.000 0.000
4 C 0.209 0.209 0.209
5 C 0.791 0.791 0.791

Results
ΔE_f (raw) = 11.2 eV/f.u.
uncorrected energy = -4.551 eV per atom
SG = R-3m
density of states at the Fermi level = 2.1 states/eV/f.u.
ΔE to the lowest computed polymorph = 1.155 eV per atom

(2)
Crystalline TeC2 at its relaxed geometry. Source: Alexandria via LeMat-Bulk, functional PBE-GGA.

Lattice parameters (Å, degrees): 3.728 3.728 13.435 90.00 90.00 120.00
Fractional positions:
1 C 0.667 0.333 0.314
2 C 0.333 0.667 0.686
3 C 0.000 0.000 0.048
4 C 0.667 0.333 0.412
5 C 0.000 0.000 0.952
6 C 0.333 0.667 0.588
7 Te 0.667 0.333 0.166
8 Te 0.000 0.000 0.500
9 Te 0.333 0.667 0.834

Results
ΔE_f (raw) = 5.0 eV/f.u.
uncorrected energy = -5.538 eV per atom
SG = P-3m1
density of states at the Fermi level = 0.9 states/eV/f.u.
ΔE to the lowest computed polymorph = 0.740 eV per atom

(3)
Crystalline Te3C4 at its relaxed geometry. Source: Alexandria via LeMat-Bulk, functional PBE-GGA.

Lattice parameters (Å, degrees): 4.798 4.798 4.798 90.00 90.00 90.00
Last column: magnetic moment on the atom in μB.
Fractional positions:
1 Te 0.000 0.500 0.000  -0.01
2 Te 0.500 0.000 0.000  -0.01
3 Te 0.000 0.000 0.500  -0.01
4 C 0.500 0.000 0.500  0.28
5 C 0.500 0.500 0.000  0.28
6 C 0.000 0.000 0.000  0.00
7 C 0.000 0.500 0.500  0.28

Results
ΔE_f (raw) = 16.7 eV/f.u.
uncorrected energy = -4.232 eV per atom
SG = Pm-3m
density of states at the Fermi level = 2.5 states/eV/f.u.
ΔE to the lowest computed polymorph = 0.572 eV per atom

(4)
Crystalline Te2C at its relaxed geometry. Source: Alexandria via LeMat-Bulk, functional PBE-GGA.

Lattice parameters (Å, degrees): 4.051 4.051 9.312 90.00 90.00 120.00
Fractional positions:
1 Te 0.000 0.000 0.500
2 Te 0.667 0.333 0.250
3 Te 0.000 0.000 0.000
4 Te 0.333 0.667 0.750
5 C 0.667 0.333 0.750
6 C 0.333 0.667 0.250

Results
ΔE_f (raw) = 5.1 eV/f.u.
uncorrected energy = -3.468 eV per atom
SG = P6_3/mmc
density of states at the Fermi level = 2.4 states/eV/f.u.
ΔE to the lowest computed polymorph = 0.972 eV per atom

What did the third record say?
Crystalline Te3C4 at its relaxed geometry. Source: Alexandria via LeMat-Bulk, functional PBE-GGA.

Lattice parameters (Å, degrees): 4.798 4.798 4.798 90.00 90.00 90.00
Last column: magnetic moment on the atom in μB.
Fractional positions:
1 Te 0.000 0.500 0.000  -0.01
2 Te 0.500 0.000 0.000  -0.01
3 Te 0.000 0.000 0.500  -0.01
4 C 0.500 0.000 0.500  0.28
5 C 0.500 0.500 0.000  0.28
6 C 0.000 0.000 0.000  0.00
7 C 0.000 0.500 0.500  0.28

Results
ΔE_f (raw) = 16.7 eV/f.u.
uncorrected energy = -4.232 eV per atom
SG = Pm-3m
density of states at the Fermi level = 2.5 states/eV/f.u.
ΔE to the lowest computed polymorph = 0.572 eV per atom

Look up the density of states at the Fermi level of the fourth one.
2.4 states/eV/f.u.